1.
First-principles (GGA-PBE) data for a relaxed structure of YGa2Cu2Pd, as listed in Alexandria via LeMat-Bulk.

Cell: 4.7099 4.7099 5.3803 Å, 90.00 90.00 90.00°
Positions (direct):
Y 0.0000 0.0000 0.0000
Ga 0.0000 0.5000 0.5000
Ga 0.5000 0.0000 0.5000
Cu 0.5000 0.5000 0.2316
Cu 0.5000 0.5000 0.7684
Pd 0.0000 0.0000 0.5000

## Properties
As for the space group: No. 123. Its crystal system is tetragonal. Its energy of formation from the pure elements is -81 meV/atom.


2.
First-principles (GGA-PBE) data for a relaxed structure of YGa4CuPd2, as listed in Alexandria via LeMat-Bulk.

Cell: 8.9455 8.9455 8.9455 Å, 27.69 27.69 27.69°
Positions (direct):
Y 0.0000 0.0000 0.0000
Ga 0.1312 0.1312 0.1312
Ga 0.3980 0.3980 0.3980
Ga 0.6020 0.6020 0.6020
Ga 0.8688 0.8688 0.8688
Cu 0.5000 0.5000 0.5000
Pd 0.2392 0.2392 0.2392
Pd 0.7608 0.7608 0.7608

## Properties
As for the space group: No. 166. Its crystal system is trigonal. Its energy of formation from the pure elements is -527 meV/atom.


3.
First-principles (GGA-PBE) data for a relaxed structure of YGa2CuPd2, as listed in Alexandria via LeMat-Bulk.

Cell: 4.5061 4.5061 5.5647 Å, 90.00 90.00 90.00°
Positions (direct):
Y 0.0000 0.0000 0.0000
Ga 0.0000 0.5000 0.5000
Ga 0.5000 0.0000 0.5000
Cu 0.0000 0.0000 0.5000
Pd 0.5000 0.5000 0.2417
Pd 0.5000 0.5000 0.7583

## Properties
As for the space group: No. 123. Its crystal system is tetragonal. Its energy of formation from the pure elements is -325 meV/atom.


4.
First-principles (GGA-PBE) data for a relaxed structure of Zn3Ga3CuPd2, as listed in Alexandria via LeMat-Bulk.

Cell: 7.2487 7.2487 3.0016 Å, 90.00 90.00 120.00°
Positions (direct):
Zn 0.0000 0.7201 0.0000
Zn 0.2799 0.2799 0.0000
Zn 0.7201 0.0000 0.0000
Ga 0.0000 0.3728 0.5000
Ga 0.3728 0.0000 0.5000
Ga 0.6272 0.6272 0.5000
Cu 0.0000 0.0000 0.5000
Pd 0.3333 0.6667 0.0000
Pd 0.6667 0.3333 0.0000

## Properties
As for the space group: No. 189. Its crystal system is hexagonal. Its energy of formation from the pure elements is -260 meV/atom.


5.
First-principles (GGA-PBE) data for a relaxed structure of ZrGaCu2Pd, as listed in Alexandria via LeMat-Bulk.

Cell: 4.6851 4.6851 4.8968 Å, 90.00 90.00 90.00°
Positions (direct):
Zr 0.0000 0.0000 0.0000
Ga 0.5000 0.5000 0.0000
Cu 0.0000 0.5000 0.5000
Cu 0.5000 0.0000 0.5000
Pd 0.0000 0.0000 0.5000

## Properties
As for the space group: No. 123. Its crystal system is tetragonal. Its energy of formation from the pure elements is 534 meV/atom.


6.
First-principles (GGA-PBE) data for a relaxed structure of ZrGaCuPd, as listed in Alexandria via LeMat-Bulk.

Cell: 6.3707 6.3707 6.3707 Å, 90.00 90.00 90.00°
Positions (direct):
Zr 0.0000 0.0000 0.0000
Zr 0.0000 0.5000 0.5000
Zr 0.5000 0.0000 0.5000
Zr 0.5000 0.5000 0.0000
Ga 0.0000 0.0000 0.5000
Ga 0.0000 0.5000 0.0000
Ga 0.5000 0.0000 0.0000
Ga 0.5000 0.5000 0.5000
Cu 0.2500 0.2500 0.2500
Cu 0.2500 0.7500 0.7500
Cu 0.7500 0.2500 0.7500
Cu 0.7500 0.7500 0.2500
Pd 0.2500 0.2500 0.7500
Pd 0.2500 0.7500 0.2500
Pd 0.7500 0.2500 0.2500
Pd 0.7500 0.7500 0.7500

## Properties
As for the space group: No. 216. Its crystal system is cubic. Its energy of formation from the pure elements is -524 meV/atom.


7.
First-principles (GGA-PBE) data for a relaxed structure of Pm4Ga3Cu, as listed in Alexandria via LeMat-Bulk.

Cell: 9.0150 9.0150 9.0150 Å, 33.17 33.17 33.17°
Positions (direct):
Pm 0.1226 0.1226 0.1226
Pm 0.3724 0.3724 0.3724
Pm 0.6276 0.6276 0.6276
Pm 0.8774 0.8774 0.8774
Ga 0.2497 0.2497 0.2497
Ga 0.5000 0.5000 0.5000
Ga 0.7503 0.7503 0.7503
Cu 0.0000 0.0000 0.0000

## Properties
As for the space group: No. 166. Its crystal system is trigonal. Its energy of formation from the pure elements is -449 meV/atom.


8.
First-principles (GGA-PBE) data for a relaxed structure of Pm2GaCu3, as listed in Alexandria via LeMat-Bulk.

Cell: 3.9270 4.1256 15.2872 Å, 90.00 90.00 90.00°
Positions (direct):
Pm 0.0000 0.0000 0.0000
Pm 0.0000 0.5000 0.2576
Pm 0.5000 0.0000 0.7576
Pm 0.5000 0.5000 0.5000
Ga 0.0000 0.0000 0.5905
Ga 0.5000 0.5000 0.0905
Cu 0.0000 0.0000 0.4259
Cu 0.0000 0.5000 0.6731
Cu 0.0000 0.5000 0.8340
Cu 0.5000 0.0000 0.1731
Cu 0.5000 0.0000 0.3340
Cu 0.5000 0.5000 0.9259

## Properties
As for the space group: No. 44. Its crystal system is orthorhombic. Its energy of formation from the pure elements is -305 meV/atom.


9.
First-principles (GGA-PBE) data for a relaxed structure of Pm2GaCu5, as listed in Alexandria via LeMat-Bulk.

Cell: 8.0360 8.0360 8.8325 Å, 90.00 90.00 149.44°
Positions (direct):
Pm 0.0000 0.0000 0.0000
Pm 0.0000 0.0000 0.5000
Pm 0.2100 0.7900 0.7500
Pm 0.7900 0.2100 0.2500
Ga 0.4395 0.5605 0.2500
Ga 0.5605 0.4395 0.7500
Cu 0.1780 0.8220 0.1120
Cu 0.1780 0.8220 0.3880
Cu 0.3448 0.6552 0.0204
Cu 0.3448 0.6552 0.4796
Cu 0.4013 0.5987 0.7500
Cu 0.5987 0.4013 0.2500
Cu 0.6552 0.3448 0.5204
Cu 0.6552 0.3448 0.9796
Cu 0.8220 0.1780 0.6120
Cu 0.8220 0.1780 0.8880

## Properties
As for the space group: No. 63. Its crystal system is orthorhombic. Its energy of formation from the pure elements is -248 meV/atom.


10.
First-principles (GGA-PBE) data for a relaxed structure of PmGa4Cu12, as listed in Alexandria via LeMat-Bulk.

Cell: 7.1686 7.1686 7.1686 Å, 109.47 109.47 109.47°
Positions (direct):
Pm 0.0000 0.0000 0.0000
Ga 0.0000 0.0000 0.5000
Ga 0.0000 0.5000 0.0000
Ga 0.5000 0.0000 0.0000
Ga 0.5000 0.5000 0.5000
Cu 0.1477 0.5033 0.3556
Cu 0.1477 0.7921 0.6444
Cu 0.2079 0.3556 0.8523
Cu 0.3556 0.1477 0.5033
Cu 0.3556 0.8523 0.2079
Cu 0.4967 0.6444 0.8523
Cu 0.5033 0.3556 0.1477
Cu 0.6444 0.1477 0.7921
Cu 0.6444 0.8523 0.4967
Cu 0.7921 0.6444 0.1477
Cu 0.8523 0.2079 0.3556
Cu 0.8523 0.4967 0.6444

## Properties
As for the space group: No. 204. Its crystal system is cubic. Its energy of formation from the pure elements is 289 meV/atom.


11.
First-principles (GGA-PBE) data for a relaxed structure of PmGa4Cu3, as listed in Alexandria via LeMat-Bulk.

Cell: 4.1273 4.1273 8.1397 Å, 90.00 90.00 90.00°
Positions (direct):
Pm 0.0000 0.0000 0.0000
Ga 0.0000 0.5000 0.3232
Ga 0.0000 0.5000 0.6768
Ga 0.5000 0.0000 0.3232
Ga 0.5000 0.0000 0.6768
Cu 0.0000 0.0000 0.5000
Cu 0.5000 0.5000 0.1475
Cu 0.5000 0.5000 0.8525

## Properties
As for the space group: No. 123. Its crystal system is tetragonal. Its energy of formation from the pure elements is -306 meV/atom.


12.
First-principles (GGA-PBE) data for a relaxed structure of PmGa2Cu, as listed in Alexandria via LeMat-Bulk.

Cell: 4.2573 4.2573 4.3567 Å, 90.00 90.00 90.00°
Positions (direct):
Pm 0.0000 0.0000 0.0000
Ga 0.0000 0.5000 0.5000
Ga 0.5000 0.0000 0.5000
Cu 0.5000 0.5000 0.0000

## Properties
As for the space group: No. 123. Its crystal system is tetragonal. Its energy of formation from the pure elements is -311 meV/atom.


Across the entries above, DFT total energy takes the values -4.398; -4.659; -4.825; -3.303; -4.458; -5.740; -4.472; -4.441; -4.374; -3.594; -3.950; -4.036 eV per atom, respectively.
Across the entries above, V takes the values 119; 136; 113; 137; 107; 259; 195; 248; 290; 284; 139; 79 Å³ per cell, respectively.